Tl2CrIn GGA-PBEsol optimized geometry; DOS(E_F) = 0.548 states/eV/atom; symmetry = No. 123; energy relative to the elements = 431 meV per atom; ΔE to the lowest computed polymorph = 76 meV per atom
1.0
3.270 0.000 0.000
0.000 3.270 0.000
0.000 0.000 8.651
Tl In Cr
2 1 1
direct
0.000 0.000 0.215 Tl
0.000 0.000 0.785 Tl
0.500 0.500 0.500 In
0.500 0.500 0.000 Cr